Material: Pu2FePb
Method: DFT, PBE-GGA
State: relaxed

Calculated values
Excess energy over the best structure of this formula in the dataset ... 307.6 meV/atom
Energy of formation from the pure elements ... 0.2536 eV/atom

Cell lengths 10.124, 10.124, 10.124 Å; angles 20.20, 20.20, 20.20 degrees
Positions (direct):
Pu  0.111  0.111  0.111
Pu  0.889  0.889  0.889
Fe  0.500  0.500  0.500
Pb  0.000  0.000  0.000

=====

Material: BaRhBr3
Method: DFT, PBE-GGA
State: relaxed

Calculated values
Formation energy without anion corrections ... -1.0767 eV per atom

Cell lengths 5.204, 5.204, 5.204 Å; angles 90.00, 90.00, 90.00 degrees
Positions (direct):
Ba  0.000  0.000  0.000
Rh  0.500  0.500  0.500
Br  0.000  0.500  0.500
Br  0.500  0.000  0.500
Br  0.500  0.500  0.000

=====

Material: Ac2TlCd7
Method: DFT, PBE-GGA
State: relaxed

Calculated values
Energy of formation from the pure elements ... -0.2393 eV/atom

Cell lengths 4.780, 4.780, 12.152 Å; angles 90.00, 90.00, 90.00 degrees
Positions (direct):
Ac  0.000  0.500  0.246
Ac  0.500  0.000  0.754
Tl  0.000  0.000  0.500
Cd  0.000  0.000  0.000
Cd  0.000  0.500  0.641
Cd  0.000  0.500  0.867
Cd  0.500  0.000  0.133
Cd  0.500  0.000  0.359
Cd  0.500  0.500  0.000
Cd  0.500  0.500  0.500

=====

Material: SrRu3
Method: DFT, PBE-GGA
State: relaxed

Calculated values
Energy of formation from the pure elements ... 0.8716 eV/atom

Cell lengths 5.118, 5.118, 2.784 Å; angles 90.00, 90.00, 110.07 degrees
Positions (direct):
Sr  0.000  0.000  0.000
Ru  0.000  0.500  0.500
Ru  0.500  0.000  0.500
Ru  0.500  0.500  0.000

=====

Material: Sc6AsS4
Method: DFT, PBE-GGA
State: relaxed

Calculated values
Formation energy without anion corrections ... -1.6336 eV per atom

Cell lengths 6.295, 6.295, 18.516 Å; angles 90.00, 90.00, 145.93 degrees
Positions (direct):
Sc  0.000  0.000  0.000
Sc  0.000  0.000  0.500
Sc  0.165  0.835  0.750
Sc  0.275  0.725  0.090
Sc  0.275  0.725  0.410
Sc  0.449  0.551  0.664
Sc  0.449  0.551  0.836
Sc  0.551  0.449  0.164
Sc  0.551  0.449  0.336
Sc  0.725  0.275  0.590
Sc  0.725  0.275  0.910
Sc  0.835  0.165  0.250
As  0.171  0.829  0.250
As  0.829  0.171  0.750
S  0.086  0.914  0.626
S  0.086  0.914  0.874
S  0.359  0.641  0.540
S  0.359  0.641  0.960
S  0.641  0.359  0.040
S  0.641  0.359  0.460
S  0.914  0.086  0.126
S  0.914  0.086  0.374

=====

Material: TaGa
Method: DFT, PBE-GGA
State: relaxed

Calculated values
Energy of formation from the pure elements ... -0.0810 eV/atom

Cell lengths 14.260, 2.856, 4.932 Å; angles 90.00, 90.00, 90.00 degrees
Positions (direct):
Ta  0.000  0.100  0.000
Ta  0.178  0.942  0.730
Ta  0.322  0.058  0.230
Ta  0.500  0.900  0.500
Ta  0.678  0.058  0.230
Ta  0.822  0.942  0.730
Ga  0.000  0.576  0.521
Ga  0.154  0.521  0.225
Ga  0.346  0.479  0.725
Ga  0.500  0.424  0.021
Ga  0.654  0.479  0.725
Ga  0.846  0.521  0.225

=====

Material: TlHg2P
Method: DFT, PBE-GGA
State: relaxed

Calculated values
Excess energy over the best structure of this formula in the dataset ... 168.6 meV/atom
Energy of formation from the pure elements ... 0.3131 eV/atom

Cell lengths 3.504, 3.504, 8.617 Å; angles 90.00, 90.00, 106.07 degrees
Positions (direct):
Tl  0.000  0.000  0.000
Hg  0.000  0.000  0.435
Hg  0.500  0.500  0.696
P  0.500  0.500  0.242

=====

Material: Pm2Lu4C
Method: DFT, PBE-GGA
State: relaxed

Calculated values
Energy of formation from the pure elements ... 0.0870 eV/atom

Cell lengths 9.780, 9.780, 9.780 Å; angles 152.12, 152.12, 39.84 degrees
Positions (direct):
Pm  0.183  0.183  0.000
Pm  0.817  0.817  0.000
Lu  0.000  0.500  0.500
Lu  0.372  0.372  0.000
Lu  0.500  0.000  0.500
Lu  0.628  0.628  0.000
C  0.500  0.500  0.000